5
Lattice="-0.7207 0.2606 4.7860 -6.1560 -0.2869 -0.9114 0.1822 -4.8348 0.2907" Properties=species:S:1:pos:R:3 comment="LaSnOs2Cl PBE optimized geometry" formation_energy_uncorrected_ev_per_atom=1.26 magnetic_moment_mub_per_fu=2.166 dos_at_fermi_per_ev_atom=0.639 mass_density_g_cm3=7.64 e_tot_ev_per_atom=-5.384 pbc="T T T"
Sn 0.0000 0.0000 0.0000
La -3.0780 -0.1434 -0.4557
Cl -3.3473 -2.4305 2.0826
Os -0.3604 0.1303 2.3930
Os 0.0911 -2.4174 0.1454